A plane-wave DFT calculation with PBE was carried out for a relaxed structure of SrTa4Br.

a = 8.2531 Å, b = 8.2531 Å, c = 8.2531 Å
α = 90.00°, β = 90.00°, γ = 90.00°
Last column: nearest neighbours and their distance in Å.
Space group F-43m (No. 216)
Inequivalent atoms, fractional coordinates:
Sr  0.0000  0.0000  0.0000 x4  12 Ta 3.40, 4 Br 3.57
Ta  0.1323  0.1323  0.6323 x16  3 Ta 2.75
Br  0.2500  0.2500  0.2500 x4  12 Ta 3.44, 4 Sr 3.57

Results
- D(E_F) (states/eV per atom) = 1.072
- energy relative to the elements, uncorrected (eV per atom) = 0.888